DFT (GGA-PBEsol) results for crystalline HPtCl2 at its relaxed geometry.

Fermi-level density of states, states/eV/f.u.: 5.20
E, eV/atom: -2.705
Space-group type: Fm-3m (225)
Spin magnetization, μB/f.u.: 1.81

Cell: 6.1437 6.1437 6.1437 Å, 90.00 90.00 90.00°
Last column: nearest neighbours and their distance in Å.
Element x y z (fractional)
H1 0.0000 0.0000 0.0000  8 Cl 2.66
H2 0.0000 0.5000 0.5000  8 Cl 2.66
H3 0.5000 0.0000 0.5000  8 Cl 2.66
H4 0.5000 0.5000 0.0000  8 Cl 2.66
Pt1 0.0000 0.0000 0.5000  8 Cl 2.66
Pt2 0.0000 0.5000 0.0000  8 Cl 2.66
Pt3 0.5000 0.0000 0.0000  8 Cl 2.66
Pt4 0.5000 0.5000 0.5000  8 Cl 2.66
Cl1 0.2500 0.2500 0.2500  4 H 2.66, 4 Pt 2.66
Cl2 0.2500 0.2500 0.7500  4 H 2.66, 4 Pt 2.66
Cl3 0.2500 0.7500 0.2500  4 H 2.66, 4 Pt 2.66
Cl4 0.2500 0.7500 0.7500  4 H 2.66, 4 Pt 2.66
Cl5 0.7500 0.2500 0.2500  4 H 2.66, 4 Pt 2.66
Cl6 0.7500 0.2500 0.7500  4 H 2.66, 4 Pt 2.66
Cl7 0.7500 0.7500 0.2500  4 H 2.66, 4 Pt 2.66
Cl8 0.7500 0.7500 0.7500  4 H 2.66, 4 Pt 2.66